[1]
Te4Rh5 | PBE | relaxed

- Total moment: 0.0 μB per cell
- Energy above the lowest structure with this stoichiometry: 0.177 eV per atom
- Theoretical density: 10.2 g/cm³
- N(E_F): 24.77 states/eV/cell
- Raw formation energy: 75 meV per atom

Cell: 8.045 8.045 5.958 Å, 90.00 90.00 120.00°
Positions (direct):
Te: 0.000 0.000 0.000
Te: 0.000 0.000 0.500
Te: 0.000 0.376 0.250
Te: 0.000 0.624 0.750
Te: 0.376 0.000 0.250
Te: 0.376 0.376 0.750
Te: 0.624 0.000 0.750
Te: 0.624 0.624 0.250
Rh: 0.000 0.308 0.750
Rh: 0.000 0.692 0.250
Rh: 0.308 0.000 0.750
Rh: 0.308 0.308 0.250
Rh: 0.333 0.667 0.000
Rh: 0.333 0.667 0.500
Rh: 0.667 0.333 0.000
Rh: 0.667 0.333 0.500
Rh: 0.692 0.000 0.250
Rh: 0.692 0.692 0.750


[2]
SrTm3Mn | PBE | relaxed

- Total moment: 0.9 μB per cell
- Theoretical density: 7.1 g/cm³
- Energy relative to the elements: 0.183 eV/atom
- N(E_F): 4.99 states/eV/cell

Cell: 5.342 5.342 5.342 Å, 90.00 90.00 90.00°
Positions (direct):
Sr: 0.000 0.000 0.000
Tm: 0.000 0.500 0.500
Tm: 0.500 0.000 0.500
Tm: 0.500 0.500 0.000
Mn: 0.500 0.500 0.500


[3]
Pa2Be3AlPt4 | PBE | relaxed

- Total moment: 1.1 μB per cell
- Theoretical density: 13.3 g/cm³
- Energy relative to the elements: -0.815 eV/atom
- N(E_F): 9.21 states/eV/cell

Cell: 4.006 4.006 10.084 Å, 90.00 90.00 90.00°
Positions (direct):
Pa: 0.000 0.500 0.245
Pa: 0.500 0.000 0.755
Be: 0.000 0.500 0.878
Be: 0.500 0.000 0.122
Be: 0.500 0.500 0.500
Al: 0.000 0.000 0.500
Pt: 0.000 0.000 0.000
Pt: 0.000 0.500 0.647
Pt: 0.500 0.000 0.353
Pt: 0.500 0.500 0.000


[4]
Pr8Si3I4N | PBE | relaxed

- Total moment: 0.0 μB per cell
- Theoretical density: 5.9 g/cm³
- N(E_F): 6.03 states/eV/cell
- Raw formation energy: -987 meV per atom

Cell: 9.267 9.267 9.267 Å, 54.05 54.05 54.05°
Positions (direct):
Pr: 0.233 0.233 0.233
Pr: 0.257 0.714 0.714
Pr: 0.286 0.286 0.743
Pr: 0.286 0.743 0.286
Pr: 0.714 0.257 0.714
Pr: 0.714 0.714 0.257
Pr: 0.743 0.286 0.286
Pr: 0.767 0.767 0.767
Si: 0.000 0.000 0.500
Si: 0.000 0.500 0.000
Si: 0.500 0.000 0.000
I: 0.000 0.000 0.000
I: 0.000 0.500 0.500
I: 0.500 0.000 0.500
I: 0.500 0.500 0.000
N: 0.500 0.500 0.500


[5]
PmNdMgPb | PBE | relaxed

- Total moment: 0.0 μB per cell
- Theoretical density: 7.4 g/cm³
- Energy relative to the elements: -0.333 eV/atom
- N(E_F): 3.26 states/eV/cell

Cell: 5.487 5.487 5.487 Å, 60.00 60.00 60.00°
Positions (direct):
Pm: 0.000 0.000 0.000
Nd: 0.500 0.500 0.500
Mg: 0.750 0.750 0.750
Pb: 0.250 0.250 0.250


[6]
CsNd2CuO4 | PBE | relaxed

- Total moment: 0.0 μB per cell
- Theoretical density: 6.5 g/cm³
- Raw formation energy: -2316 meV per atom

Cell: 6.490 6.490 12.287 Å, 90.00 90.00 147.29°
Positions (direct):
Cs: 0.101 0.899 0.750
Cs: 0.899 0.101 0.250
Nd: 0.367 0.633 0.559
Nd: 0.367 0.633 0.941
Nd: 0.633 0.367 0.059
Nd: 0.633 0.367 0.441
Cu: 0.172 0.828 0.250
Cu: 0.828 0.172 0.750
O: 0.000 0.000 0.000
O: 0.000 0.000 0.500
O: 0.249 0.751 0.096
O: 0.249 0.751 0.404
O: 0.406 0.594 0.750
O: 0.594 0.406 0.250
O: 0.751 0.249 0.596
O: 0.751 0.249 0.904


[7]
ZrSc2Cl2 | PBE | relaxed

- Total moment: 0.0 μB per cell
- Energy above the lowest structure with this stoichiometry: 0.276 eV per atom
- Theoretical density: 4.0 g/cm³
- N(E_F): 14.80 states/eV/cell
- Raw formation energy: -257 meV per atom

Cell: 8.252 8.252 3.062 Å, 90.00 90.00 90.00°
Positions (direct):
Zr: 0.000 0.000 0.000
Zr: 0.500 0.500 0.000
Sc: 0.163 0.337 0.000
Sc: 0.337 0.837 0.000
Sc: 0.663 0.163 0.000
Sc: 0.837 0.663 0.000
Cl: 0.128 0.628 0.500
Cl: 0.372 0.128 0.500
Cl: 0.628 0.872 0.500
Cl: 0.872 0.372 0.500


[8]
Rb2CdIn6 | PBE | relaxed

- Total moment: 0.0 μB per cell
- Theoretical density: 5.6 g/cm³
- Energy relative to the elements: -0.066 eV/atom
- N(E_F): 5.18 states/eV/cell

Cell: 6.803 6.803 7.012 Å, 91.31 91.31 62.35°
Positions (direct):
Rb: 0.163 0.163 0.370
Rb: 0.837 0.837 0.630
Cd: 0.500 0.500 0.500
In: 0.139 0.670 0.149
In: 0.330 0.861 0.851
In: 0.332 0.332 0.830
In: 0.668 0.668 0.170
In: 0.670 0.139 0.149
In: 0.861 0.330 0.851


[9]
MgHg3F6 | PBE | relaxed

- Total moment: 0.0 μB per cell
- Theoretical density: 7.7 g/cm³
- Raw formation energy: -1853 meV per atom

Cell: 6.200 5.448 11.165 Å, 90.00 122.61 90.00°
Positions (direct):
Mg: 0.000 0.000 0.000
Mg: 0.000 0.500 0.500
Hg: 0.256 0.112 0.780
Hg: 0.256 0.388 0.280
Hg: 0.500 0.000 0.500
Hg: 0.500 0.500 0.000
Hg: 0.744 0.612 0.720
Hg: 0.744 0.888 0.220
F: 0.032 0.699 0.115
F: 0.032 0.801 0.615
F: 0.130 0.662 0.392
F: 0.130 0.838 0.892
F: 0.361 0.111 0.155
F: 0.361 0.389 0.655
F: 0.639 0.611 0.345
F: 0.639 0.889 0.845
F: 0.870 0.162 0.108
F: 0.870 0.338 0.608
F: 0.968 0.199 0.385
F: 0.968 0.301 0.885


[10]
AcThSeS | PBE | relaxed

- Total moment: 0.0 μB per cell
- Theoretical density: 8.6 g/cm³
- N(E_F): 3.50 states/eV/cell
- Raw formation energy: -1703 meV per atom

Cell: 8.077 8.077 8.077 Å, 29.08 29.08 29.08°
Positions (direct):
Ac: 0.000 0.000 0.000
Th: 0.179 0.179 0.179
Se: 0.427 0.427 0.427
S: 0.585 0.585 0.585


[11]
Hg2POs | PBE | relaxed

- Total moment: 0.0 μB per cell
- Theoretical density: 13.8 g/cm³
- Energy relative to the elements: 1.061 eV/atom
- N(E_F): 3.30 states/eV/cell

Cell: 5.228 5.228 2.739 Å, 90.00 90.00 90.00°
Positions (direct):
Hg: 0.000 0.500 0.000
Hg: 0.500 0.000 0.000
P: 0.000 0.000 0.500
Os: 0.500 0.500 0.500


[12]
Ni2OsCl | PBE | relaxed

- Total moment: 0.0 μB per cell
- Energy above the lowest structure with this stoichiometry: 0.203 eV per atom
- Theoretical density: 8.4 g/cm³
- N(E_F): 4.78 states/eV/cell
- Raw formation energy: 472 meV per atom

Cell: 4.252 4.252 6.164 Å, 96.82 96.82 38.08°
Positions (direct):
Ni: 0.000 0.000 0.000
Ni: 0.738 0.738 0.179
Os: 0.263 0.263 0.855
Cl: 0.689 0.689 0.525


[13]
VSiAs3 | PBE | relaxed

- Total moment: 0.0 μB per cell
- Energy above the lowest structure with this stoichiometry: 0.000 eV per atom
- Theoretical density: 4.7 g/cm³
- N(E_F): 4.80 states/eV/cell
- Raw formation energy: 540 meV per atom

Cell: 4.738 4.738 4.738 Å, 90.00 90.00 90.00°
Positions (direct):
V: 0.000 0.000 0.000
Si: 0.500 0.500 0.500
As: 0.000 0.000 0.500
As: 0.000 0.500 0.000
As: 0.500 0.000 0.000


[14]
CeLuMn | PBE | relaxed

- Total moment: 0.0 μB per cell
- Theoretical density: 9.2 g/cm³
- Energy relative to the elements: 0.139 eV/atom
- N(E_F): 3.12 states/eV/cell

Cell: 6.667 6.667 6.667 Å, 151.55 151.55 40.67°
Positions (direct):
Ce: 0.000 0.000 0.000
Lu: 0.258 0.258 0.000
Mn: 0.621 0.621 0.000


[15]
HgRu | PBE | relaxed

- Total moment: 0.0 μB per cell
- Theoretical density: 12.0 g/cm³
- Energy relative to the elements: 0.870 eV/atom
- N(E_F): 5.42 states/eV/cell

Cell: 4.515 4.515 4.712 Å, 90.00 90.00 120.00°
Positions (direct):
Hg: 0.333 0.667 0.250
Hg: 0.667 0.333 0.750
Ru: 0.000 0.000 0.000
Ru: 0.000 0.000 0.500


[16]
LiPmSbOs | PBE | relaxed

- Total moment: 0.0 μB per cell
- Theoretical density: 10.0 g/cm³
- N(E_F): 4.30 states/eV/cell
- Raw formation energy: -259 meV per atom

Cell: 4.776 4.776 4.776 Å, 60.00 60.00 60.00°
Positions (direct):
Li: 0.000 0.000 0.000
Pm: 0.250 0.250 0.250
Sb: 0.750 0.750 0.750
Os: 0.500 0.500 0.500


[17]
VZn2Cd | PBE | relaxed

- Total moment: 0.4 μB per cell
- Theoretical density: 7.8 g/cm³
- Energy relative to the elements: 0.126 eV/atom
- N(E_F): 2.39 states/eV/cell

Cell: 4.043 4.043 3.850 Å, 90.00 90.00 90.00°
Positions (direct):
V: 0.000 0.000 0.000
Zn: 0.000 0.500 0.500
Zn: 0.500 0.000 0.500
Cd: 0.500 0.500 0.000


[18]
Np3B2IrRh9 | PBE | relaxed

- Total moment: 7.9 μB per cell
- Theoretical density: 12.3 g/cm³
- Energy relative to the elements: -0.218 eV/atom
- N(E_F): 33.25 states/eV/cell

Cell: 5.630 5.630 9.067 Å, 90.00 90.00 120.00°
Positions (direct):
Np: 0.000 0.000 0.000
Np: 0.333 0.667 0.601
Np: 0.667 0.333 0.399
B: 0.333 0.667 0.145
B: 0.667 0.333 0.855
Ir: 0.000 0.000 0.500
Rh: 0.000 0.500 0.000
Rh: 0.162 0.323 0.273
Rh: 0.162 0.838 0.273
Rh: 0.323 0.162 0.727
Rh: 0.500 0.000 0.000
Rh: 0.500 0.500 0.000
Rh: 0.677 0.838 0.273
Rh: 0.838 0.162 0.727
Rh: 0.838 0.677 0.727


[19]
La3Tb2DyP6 | PBE | relaxed

- Total moment: 0.0 μB per cell
- Theoretical density: 5.9 g/cm³
- Energy relative to the elements: -1.582 eV/atom
- N(E_F): 1.12 states/eV/cell

Cell: 7.186 7.186 7.186 Å, 99.59 99.59 120.00°
Positions (direct):
La: 0.000 0.000 0.000
La: 0.333 0.667 0.000
La: 0.667 0.333 0.000
Tb: 0.167 0.833 0.500
Tb: 0.833 0.167 0.500
Dy: 0.500 0.500 0.500
P: 0.088 0.421 0.263
P: 0.246 0.246 0.737
P: 0.421 0.088 0.263
P: 0.579 0.912 0.737
P: 0.754 0.754 0.263
P: 0.912 0.579 0.737